1.
# Ag2OsPb GGA-PBEsol relaxed
# SG ... Cmm2 (35)
data_Ag2OsPb
_space_group_name_H-M_alt 'P 1'
_space_group_IT_number 1
_cell_length_a 2.909
_cell_length_b 2.909
_cell_length_c 9.716
_cell_angle_alpha 90.00
_cell_angle_beta 90.00
_cell_angle_gamma 116.77
loop_
_space_group_symop_operation_xyz
'x,y,z'
loop_
_atom_site_label
_atom_site_type_symbol
_atom_site_fract_x
_atom_site_fract_y
_atom_site_fract_z
_atom_site_occupancy
Ag1 Ag 0.000 0.000 0.000 1
Ag2 Ag 0.500 0.500 0.235 1
Os1 Os 0.000 0.000 0.468 1
Pb1 Pb 0.500 0.500 0.715 1

=====

2.
# LiTl2Ni GGA-PBEsol relaxed
# SG ... P4/mmm (123)
data_LiTl2Ni
_space_group_name_H-M_alt 'P 1'
_space_group_IT_number 1
_cell_length_a 3.266
_cell_length_b 3.266
_cell_length_c 6.704
_cell_angle_alpha 90.00
_cell_angle_beta 90.00
_cell_angle_gamma 90.00
loop_
_space_group_symop_operation_xyz
'x,y,z'
loop_
_atom_site_label
_atom_site_type_symbol
_atom_site_fract_x
_atom_site_fract_y
_atom_site_fract_z
_atom_site_occupancy
Li1 Li 0.000 0.000 0.000 1
Tl1 Tl 0.500 0.500 0.268 1
Tl2 Tl 0.500 0.500 0.732 1
Ni1 Ni 0.000 0.000 0.500 1

=====

3.
# Ag2PdAu GGA-PBEsol relaxed
# SG ... Fm-3m (225)
data_Ag2PdAu
_space_group_name_H-M_alt 'P 1'
_space_group_IT_number 1
_cell_length_a 4.501
_cell_length_b 4.501
_cell_length_c 4.501
_cell_angle_alpha 60.00
_cell_angle_beta 60.00
_cell_angle_gamma 60.00
loop_
_space_group_symop_operation_xyz
'x,y,z'
loop_
_atom_site_label
_atom_site_type_symbol
_atom_site_fract_x
_atom_site_fract_y
_atom_site_fract_z
_atom_site_occupancy
Ag1 Ag 0.250 0.250 0.250 1
Ag2 Ag 0.750 0.750 0.750 1
Pd1 Pd 0.000 0.000 0.000 1
Au1 Au 0.500 0.500 0.500 1

=====

For the records above, the corresponding total moment values read 0.013, 0.000, 0.000 Bohr magnetons per cell.
For the records above, the corresponding VASP energy values read -0.1828, -0.1231, -0.1530 hartree per atom.